# 1
Zn2ReBiF | PBE | relaxed Values from VASP.

Structure (Quantum ESPRESSO input):
```
&SYSTEM
  ibrav = 0, nat = 5, ntyp = 4
/
ATOMIC_SPECIES
Zn 65.41 Zn.upf
Re 186.21 Re.upf
Bi 208.98 Bi.upf
F 19.00 F.upf
CELL_PARAMETERS angstrom
4.9467 0.0000 0.0000
0.0000 4.9467 0.0000
0.0000 0.0000 5.1784
ATOMIC_POSITIONS crystal
Zn 0.0000 0.5000 0.0000
Zn 0.5000 0.0000 0.0000
Re 0.0000 0.0000 0.0000
Bi 0.0000 0.0000 0.5000
F 0.5000 0.5000 0.5000
```

Output
Total magnetization = 0.92 μB per cell
E_form (uncorrected) = 0.33 eV per atom
Space group = P4/mmm (123)

# 2
BiRh3F | PBE | relaxed Values from VASP.

Structure (Quantum ESPRESSO input):
```
&SYSTEM
  ibrav = 0, nat = 5, ntyp = 3
/
ATOMIC_SPECIES
Bi 208.98 Bi.upf
Rh 102.91 Rh.upf
F 19.00 F.upf
CELL_PARAMETERS angstrom
4.3993 0.0000 0.0000
0.0000 4.3993 0.0000
0.0000 0.0000 4.3993
ATOMIC_POSITIONS crystal
Bi 0.0000 0.0000 0.0000
Rh 0.0000 0.5000 0.5000
Rh 0.5000 0.0000 0.5000
Rh 0.5000 0.5000 0.0000
F 0.5000 0.5000 0.5000
```

Output
Total magnetization = 2.20 μB per cell
E_form (uncorrected) = 0.42 eV per atom
Polymorph energy (0 for the lowest one) = 0 meV per atom
Space group = Pm-3m (221)

# 3
BiRh2F | PBE | relaxed Values from VASP.

Structure (Quantum ESPRESSO input):
```
&SYSTEM
  ibrav = 0, nat = 4, ntyp = 3
/
ATOMIC_SPECIES
Bi 208.98 Bi.upf
Rh 102.91 Rh.upf
F 19.00 F.upf
CELL_PARAMETERS angstrom
0.0000 3.1692 3.1692
3.1692 0.0000 3.1692
3.1692 3.1692 0.0000
ATOMIC_POSITIONS crystal
Bi 0.0000 0.0000 0.0000
Rh 0.2500 0.2500 0.2500
Rh 0.7500 0.7500 0.7500
F 0.5000 0.5000 0.5000
```

Output
Total magnetization = 0.00 μB per cell
E_form (uncorrected) = -0.25 eV per atom
Polymorph energy (0 for the lowest one) = 0 meV per atom
Space group = Fm-3m (225)

# 4
BiRh3F | PBE | relaxed Values from VASP.

Structure (Quantum ESPRESSO input):
```
&SYSTEM
  ibrav = 0, nat = 5, ntyp = 3
/
ATOMIC_SPECIES
Bi 208.98 Bi.upf
Rh 102.91 Rh.upf
F 19.00 F.upf
CELL_PARAMETERS angstrom
5.0804 0.0000 0.0000
0.0000 5.0804 0.0000
0.0000 0.0000 5.0804
ATOMIC_POSITIONS crystal
Bi 0.0000 0.0000 0.0000
Rh 0.0000 0.0000 0.5000
Rh 0.0000 0.5000 0.0000
Rh 0.5000 0.0000 0.0000
F 0.5000 0.5000 0.5000
```

Output
Total magnetization = 2.22 μB per cell
E_form (uncorrected) = 1.26 eV per atom
Polymorph energy (0 for the lowest one) = 844 meV per atom
Space group = Pm-3m (221)

# 5
BiRh2F | PBE | relaxed Values from VASP.

Structure (Quantum ESPRESSO input):
```
&SYSTEM
  ibrav = 0, nat = 8, ntyp = 3
/
ATOMIC_SPECIES
Bi 208.98 Bi.upf
Rh 102.91 Rh.upf
F 19.00 F.upf
CELL_PARAMETERS angstrom
-3.4653 3.4653 2.7610
3.4653 -3.4653 2.7610
3.4653 3.4653 -2.7610
ATOMIC_POSITIONS crystal
Bi 0.0000 0.0000 0.0000
Bi 0.7500 0.2500 0.5000
Rh 0.1614 0.6250 0.0364
Rh 0.3750 0.4114 0.5364
Rh 0.5886 0.1250 0.9636
Rh 0.8750 0.8386 0.4636
F 0.2500 0.7500 0.5000
F 0.5000 0.5000 0.0000
```

Output
Total magnetization = 0.00 μB per cell
E_form (uncorrected) = -0.09 eV per atom
Polymorph energy (0 for the lowest one) = 156 meV per atom
Space group = I-42d (122)

# 6
BiRh2F8 | PBE | relaxed Values from VASP.

Structure (Quantum ESPRESSO input):
```
&SYSTEM
  ibrav = 0, nat = 11, ntyp = 3
/
ATOMIC_SPECIES
Bi 208.98 Bi.upf
Rh 102.91 Rh.upf
F 19.00 F.upf
CELL_PARAMETERS angstrom
7.0193 0.0000 0.0000
-3.5096 6.0789 0.0000
0.0000 0.0000 4.2231
ATOMIC_POSITIONS crystal
Bi 0.0000 0.0000 0.0000
Rh 0.3333 0.6667 0.7187
Rh 0.6667 0.3333 0.2813
F 0.1630 0.3260 0.7341
F 0.1630 0.8370 0.7341
F 0.3260 0.1630 0.2659
F 0.3333 0.6667 0.2226
F 0.6667 0.3333 0.7774
F 0.6740 0.8370 0.7341
F 0.8370 0.1630 0.2659
F 0.8370 0.6740 0.2659
```

Output
Total magnetization = 5.01 μB per cell
E_form (uncorrected) = -1.49 eV per atom
Space group = P-3m1 (164)

# 7
TcBiRhF2 | PBE | relaxed Values from VASP.

Structure (Quantum ESPRESSO input):
```
&SYSTEM
  ibrav = 0, nat = 5, ntyp = 4
/
ATOMIC_SPECIES
Tc 98.00 Tc.upf
Bi 208.98 Bi.upf
Rh 102.91 Rh.upf
F 19.00 F.upf
CELL_PARAMETERS angstrom
4.3683 0.0000 0.0000
0.0000 4.3683 0.0000
0.0000 0.0000 5.4016
ATOMIC_POSITIONS crystal
Tc 0.0000 0.0000 0.0000
Bi 0.5000 0.5000 0.5000
Rh 0.5000 0.5000 0.0000
F 0.0000 0.5000 0.5000
F 0.5000 0.0000 0.5000
```

Output
Total magnetization = 4.58 μB per cell
E_form (uncorrected) = -0.15 eV per atom
Space group = P4/mmm (123)

# 8
BiRu2F | PBE | relaxed Values from VASP.

Structure (Quantum ESPRESSO input):
```
&SYSTEM
  ibrav = 0, nat = 4, ntyp = 3
/
ATOMIC_SPECIES
Bi 208.98 Bi.upf
Ru 101.07 Ru.upf
F 19.00 F.upf
CELL_PARAMETERS angstrom
0.0000 3.1767 3.1767
3.1767 0.0000 3.1767
3.1767 3.1767 0.0000
ATOMIC_POSITIONS crystal
Bi 0.0000 0.0000 0.0000
Ru 0.2500 0.2500 0.2500
Ru 0.7500 0.7500 0.7500
F 0.5000 0.5000 0.5000
```

Output
Total magnetization = 1.18 μB per cell
E_form (uncorrected) = 0.32 eV per atom
Space group = Fm-3m (225)

# 9
Bi2RuF | PBE | relaxed Values from VASP.

Structure (Quantum ESPRESSO input):
```
&SYSTEM
  ibrav = 0, nat = 4, ntyp = 3
/
ATOMIC_SPECIES
Bi 208.98 Bi.upf
Ru 101.07 Ru.upf
F 19.00 F.upf
CELL_PARAMETERS angstrom
0.0000 3.3581 3.3581
3.3581 0.0000 3.3581
3.3581 3.3581 0.0000
ATOMIC_POSITIONS crystal
Bi 0.2500 0.2500 0.2500
Bi 0.7500 0.7500 0.7500
Ru 0.0000 0.0000 0.0000
F 0.5000 0.5000 0.5000
```

Output
Total magnetization = 0.00 μB per cell
E_form (uncorrected) = -0.36 eV per atom
Polymorph energy (0 for the lowest one) = 0 meV per atom
Space group = Fm-3m (225)

# 10
Bi3RuF | PBE | relaxed Values from VASP.

Structure (Quantum ESPRESSO input):
```
&SYSTEM
  ibrav = 0, nat = 5, ntyp = 3
/
ATOMIC_SPECIES
Bi 208.98 Bi.upf
Ru 101.07 Ru.upf
F 19.00 F.upf
CELL_PARAMETERS angstrom
5.2913 0.0000 0.0000
0.0000 5.2913 0.0000
0.0000 0.0000 5.2913
ATOMIC_POSITIONS crystal
Bi 0.0000 0.0000 0.5000
Bi 0.0000 0.5000 0.0000
Bi 0.5000 0.0000 0.0000
Ru 0.0000 0.0000 0.0000
F 0.5000 0.5000 0.5000
```

Output
Total magnetization = 1.68 μB per cell
E_form (uncorrected) = 0.16 eV per atom
Polymorph energy (0 for the lowest one) = 0 meV per atom
Space group = Pm-3m (221)

# 11
Bi3RuF | PBE | relaxed Values from VASP.

Structure (Quantum ESPRESSO input):
```
&SYSTEM
  ibrav = 0, nat = 5, ntyp = 3
/
ATOMIC_SPECIES
Bi 208.98 Bi.upf
Ru 101.07 Ru.upf
F 19.00 F.upf
CELL_PARAMETERS angstrom
4.9167 0.0000 0.0000
0.0000 4.9167 0.0000
0.0000 0.0000 4.9167
ATOMIC_POSITIONS crystal
Bi 0.0000 0.0000 0.5000
Bi 0.0000 0.5000 0.0000
Bi 0.5000 0.0000 0.0000
Ru 0.5000 0.5000 0.5000
F 0.0000 0.0000 0.0000
```

Output
Total magnetization = 0.82 μB per cell
E_form (uncorrected) = 0.25 eV per atom
Polymorph energy (0 for the lowest one) = 89 meV per atom
Space group = Pm-3m (221)

# 12
BiRuF3 | PBE | relaxed Values from VASP.

Structure (Quantum ESPRESSO input):
```
&SYSTEM
  ibrav = 0, nat = 5, ntyp = 3
/
ATOMIC_SPECIES
Bi 208.98 Bi.upf
Ru 101.07 Ru.upf
F 19.00 F.upf
CELL_PARAMETERS angstrom
4.6394 0.0000 0.0000
0.0000 4.6394 0.0000
0.0000 0.0000 4.6394
ATOMIC_POSITIONS crystal
Bi 0.0000 0.0000 0.0000
Ru 0.5000 0.5000 0.5000
F 0.0000 0.0000 0.5000
F 0.0000 0.5000 0.0000
F 0.5000 0.0000 0.0000
```

Output
Total magnetization = 3.48 μB per cell
E_form (uncorrected) = -0.65 eV per atom
Polymorph energy (0 for the lowest one) = 86 meV per atom
Space group = Pm-3m (221)